[1]
SrZrSc2, relaxed, DFT PBE; offset from the most stable computed form = 206 meV/atom
1.0
0.000 3.812 3.812
3.812 0.000 3.812
3.812 3.812 0.000
Sr Zr Sc
1 1 2
Direct
0.000 0.000 0.000 Sr
0.500 0.500 0.500 Zr
0.250 0.250 0.250 Sc
0.750 0.750 0.750 Sc


[2]
SrZr2Sc, relaxed, DFT PBE; offset from the most stable computed form = 134 meV/atom
1.0
3.731 0.000 0.000
0.000 3.731 0.000
0.000 0.000 8.259
Sr Zr Sc
1 2 1
Direct
0.000 0.000 0.000 Sr
0.500 0.500 0.315 Zr
0.500 0.500 0.685 Zr
0.000 0.000 0.500 Sc


no.,uncorrected energy (eV/atom)
1,-5.33
2,-5.90